[1]
A geometry-optimized Y2TlGa structure, computed with PBE-GGA.

The structure belongs to space group Fm-3m (No. 225); the cell edges are 7.403, 7.403 and 7.403 Å and the angles 90.00°, 90.00° and 90.00°. Symmetry generates all atoms from Y at (0.250, 0.250, 0.250), Tl at (0.000, 0.000, 0.000) and Ga at (0.000, 0.000, 0.500).

Its formation energy is -0.4545 eV per atom. The total energy is -5.03 eV/atom. For the energy above the most stable polymorph in this dataset, the calculation gives 30 meV per atom.

***

[2]
A geometry-optimized ScBPdRh2 structure, computed with PBE-GGA.

The structure belongs to space group P4/mmm (No. 123); the cell edges are 4.148, 4.148 and 4.157 Å and the angles 90.00°, 90.00° and 90.00°. Symmetry generates all atoms from Sc at (0.000, 0.000, 0.000), B at (0.500, 0.500, 0.500), Pd at (0.500, 0.500, 0.000) and Rh at (0.000, 0.500, 0.500).

Its formation energy is -0.7502 eV per atom. The total energy is -7.33 eV/atom.

***

[3]
A geometry-optimized LuGeIrRu structure, computed with PBE-GGA.

The structure belongs to space group F-43m (No. 216); the cell edges are 6.364, 6.364 and 6.364 Å and the angles 90.00°, 90.00° and 90.00°. Symmetry generates all atoms from Lu at (0.000, 0.000, 0.000), Ge at (0.000, 0.000, 0.500), Ir at (0.250, 0.250, 0.250) and Ru at (0.250, 0.250, 0.750).

Its formation energy is -0.5461 eV per atom. The total energy is -7.36 eV/atom.